No. 1
A plane-wave DFT calculation with PBE was carried out for a geometry-optimized Ac5TbPrNd2 structure.

The calculation puts the formation energy at 0.278 eV per atom. The electronic total energy is -4.109 eV/atom.

The space group is I4/mcm (No. 140) and the conventional cell measures 8.4527, 8.4527 and 20.9433 Å, with angles of 90.00, 90.00 and 90.00 degrees. The asymmetric unit holds Ac at (0.0000, 0.0000, 0.0000), Ac at (0.2208, 0.2792, 0.1352), Tb at (0.0000, 0.5000, 0.2500), Pr at (0.0000, 0.0000, 0.2500) and Nd at (0.1222, 0.3778, 0.5000).

---

No. 2
A plane-wave DFT calculation with PBE was carried out for a geometry-optimized AcTbPr2Nd5 structure.

The calculation puts the formation energy at 0.247 eV per atom. The electronic total energy is -4.435 eV/atom.

The space group is I4/mcm (No. 140) and the conventional cell measures 9.0503, 9.0503 and 16.0409 Å, with angles of 90.00, 90.00 and 90.00 degrees. The asymmetric unit holds Ac at (0.0000, 0.0000, 0.2500), Tb at (0.0000, 0.5000, 0.2500), Pr at (0.1177, 0.3823, 0.0000), Nd at (0.0000, 0.0000, 0.0000) and Nd at (0.2053, 0.2947, 0.3652).